An optimized crystal structure of MgGa2Ge2. Source: the Alexandria database, functional PBE.

Values from the calculation:
For the final energy, the calculation gives -3.30 eV per atom. As for the formation enthalpy at 0 K: 0.078 eV/atom.

Unit cell a=3.9700 b=3.9700 c=12.9484 alpha=90.00 beta=90.00 gamma=90.00
Element x y z (fractional)
Mg (0.0000, 0.0000, 0.0000)
Mg (0.5000, 0.5000, 0.5000)
Ga (0.0000, 0.5000, 0.2500)
Ga (0.0000, 0.5000, 0.7500)
Ga (0.5000, 0.0000, 0.2500)
Ga (0.5000, 0.0000, 0.7500)
Ge (0.0000, 0.0000, 0.3977)
Ge (0.0000, 0.0000, 0.6023)
Ge (0.5000, 0.5000, 0.1023)
Ge (0.5000, 0.5000, 0.8977)